Model one:
{"formula": "Na3SnPb", "functional": "PBE-GGA", "state": "optimized geometry", "cell": [[5.7650, 0.0000, 0.0000], [0.0000, 5.7650, 0.0000], [0.0000, 0.0000, 5.7650]], "species": ["Na", "Na", "Na", "Sn", "Pb"], "frac_coords": [[0.0000, 0.0000, 0.5000], [0.0000, 0.5000, 0.0000], [0.5000, 0.0000, 0.0000], [0.0000, 0.0000, 0.0000], [0.5000, 0.5000, 0.5000]], "magmom_total_mub_per_fu": 0.00, "n_ef_per_ev_atom": 0.867}

Model two:
{"formula": "Na3SnPb", "functional": "PBE-GGA", "state": "optimized geometry", "cell": [[5.4060, -5.3205, 0.0000], [5.4060, 5.3205, 0.0000], [-4.3477, 0.0000, 6.0098]], "species": ["Na", "Na", "Na", "Na", "Na", "Na", "Sn", "Sn", "Pb", "Pb"], "frac_coords": [[0.0713, 0.0713, 0.3286], [0.0798, 0.4997, 0.2545], [0.4997, 0.0798, 0.2545], [0.5003, 0.9202, 0.7455], [0.9202, 0.5003, 0.7455], [0.9287, 0.9287, 0.6714], [0.4384, 0.4384, 0.6499], [0.5616, 0.5616, 0.3501], [0.2791, 0.2791, 0.8902], [0.7209, 0.7209, 0.1098]], "magmom_total_mub_per_fu": 0.00, "n_ef_per_ev_atom": 0.298}

Model three:
{"formula": "Na3SnPb", "functional": "PBE-GGA", "state": "optimized geometry", "cell": [[5.7862, 0.0000, 0.0000], [0.0000, 5.7862, 0.0000], [0.0000, 0.0000, 5.7862]], "species": ["Na", "Na", "Na", "Sn", "Pb"], "frac_coords": [[0.0000, 0.0000, 0.5000], [0.0000, 0.5000, 0.0000], [0.5000, 0.0000, 0.0000], [0.5000, 0.5000, 0.5000], [0.0000, 0.0000, 0.0000]], "magmom_total_mub_per_fu": 0.00, "n_ef_per_ev_atom": 1.013}

Model four:
{"formula": "Na3SnPb", "functional": "PBE-GGA", "state": "optimized geometry", "cell": [[7.2167, 0.0000, 0.0000], [0.0000, 4.8116, 0.0000], [-0.2004, 0.0000, 8.1620]], "species": ["Na", "Na", "Na", "Na", "Na", "Na", "Sn", "Sn", "Pb", "Pb"], "frac_coords": [[0.0512, 0.2500, 0.3380], [0.2464, 0.2500, 0.7479], [0.4490, 0.2500, 0.1558], [0.5510, 0.7500, 0.8442], [0.7536, 0.7500, 0.2521], [0.9488, 0.7500, 0.6620], [0.1333, 0.7500, 0.0417], [0.8667, 0.2500, 0.9583], [0.3560, 0.7500, 0.4471], [0.6440, 0.2500, 0.5529]], "magmom_total_mub_per_fu": 0.00, "n_ef_per_ev_atom": 0.373}

Most stable = model four